VASP calculation (PBE-GGA) on a geometry-optimized Bi8Se3 structure.

SG: R-3m
Uncorrected energy (eV per atom): -3.94
Density of states at the Fermi level (states/eV/atom): 0.21
Density (g cm⁻³): 8.6
Formation energy (no corrections) (kJ/mol of atoms): -16.2

```
data_Bi8Se3
_space_group_name_H-M_alt 'P 1'
_space_group_IT_number 1
_cell_length_a 21.9044
_cell_length_b 21.9044
_cell_length_c 21.9044
_cell_angle_alpha 11.58
_cell_angle_beta 11.58
_cell_angle_gamma 11.58
loop_
_space_group_symop_operation_xyz
'x,y,z'
loop_
_atom_site_label
_atom_site_type_symbol
_atom_site_fract_x
_atom_site_fract_y
_atom_site_fract_z
Bi1 Bi 0.0532 0.0532 0.0532
Bi2 Bi 0.1390 0.1390 0.1390
Bi3 Bi 0.3203 0.3203 0.3203
Bi4 Bi 0.4127 0.4127 0.4127
Bi5 Bi 0.5873 0.5873 0.5873
Bi6 Bi 0.6797 0.6797 0.6797
Bi7 Bi 0.8610 0.8610 0.8610
Bi8 Bi 0.9468 0.9468 0.9468
Se1 Se 0.2169 0.2169 0.2169
Se2 Se 0.5000 0.5000 0.5000
Se3 Se 0.7831 0.7831 0.7831
```